## V2InBO (PBE with a Hubbard U)

Data for V2InBO after structural relaxation.

Energy ... -0.19750 hartree per atom

abc: 4.1230 4.1230 4.5814
angles: 90.00 90.00 90.00
Sites, in units of the cell vectors:
V: 0.0000 0.5000 0.0000
V: 0.5000 0.0000 0.0000
In: 0.0000 0.0000 0.5000
B: 0.5000 0.5000 0.5000
O: 0.0000 0.0000 0.0000